1.
# Sr2NpMnN5 PBE optimized geometry
# Crystal system   orthorhombic
# Uncorrected energy   -295.375 eV per cell
# E_form (uncorrected)   -0.7492 eV/atom
data_Sr2NpMnN5
_space_group_name_H-M_alt 'C m c 21'
_space_group_IT_number 36
_space_group_name_Hall 'C 2c -2'
_cell_length_a 3.4805
_cell_length_b 14.5525
_cell_length_c 10.8314
_cell_angle_alpha 90.00
_cell_angle_beta 90.00
_cell_angle_gamma 90.00
loop_
_atom_site_label
_atom_site_fract_x
_atom_site_fract_y
_atom_site_fract_z
Sr1 0.0000 0.1141 0.0000
Sr2 0.0000 0.1378 0.6607
Np1 0.0000 0.1931 0.3533
Mn1 0.0000 0.4533 0.7541
N1 0.0000 0.0397 0.3208
N2 0.0000 0.3011 0.9742
N3 0.0000 0.3244 0.7275
N4 0.0000 0.3274 0.3363
N5 0.0000 0.4992 0.6166


2.
# Sr3Np3MnN8 PBE optimized geometry
# Crystal system   trigonal
# Uncorrected energy   -395.351 eV per cell
# E_form (uncorrected)   -0.8096 eV/atom
data_Sr3Np3MnN8
_space_group_name_H-M_alt 'R -3 m'
_space_group_IT_number 166
_space_group_name_Hall '-R 3 2"'
_cell_length_a 6.8099
_cell_length_b 6.8099
_cell_length_c 17.8627
_cell_angle_alpha 90.00
_cell_angle_beta 90.00
_cell_angle_gamma 120.00
loop_
_atom_site_label
_atom_site_fract_x
_atom_site_fract_y
_atom_site_fract_z
Sr1 0.0000 0.5000 0.0000
Np1 0.0000 0.5000 0.5000
Mn1 0.0000 0.0000 0.5000
N1 0.0000 0.0000 0.2359
N2 0.0092 0.5046 0.2265


3.
# TbNp2MnN4 PBE optimized geometry
# Crystal system   orthorhombic
# Uncorrected energy   -325.516 eV per cell
# E_form (uncorrected)   -1.0495 eV/atom
data_TbNp2MnN4
_space_group_name_H-M_alt 'C m c m'
_space_group_IT_number 63
_space_group_name_Hall '-C 2c 2'
_cell_length_a 3.3388
_cell_length_b 11.3508
_cell_length_c 11.2775
_cell_angle_alpha 90.00
_cell_angle_beta 90.00
_cell_angle_gamma 90.00
loop_
_atom_site_label
_atom_site_fract_x
_atom_site_fract_y
_atom_site_fract_z
Tb1 0.0000 0.1065 0.2500
Np1 0.0000 0.3691 0.0557
Mn1 0.0000 0.1585 0.7500
N1 0.0000 0.0000 0.0000
N2 0.0000 0.2728 0.6186
N3 0.0000 0.4468 0.2500


4.
# ThNp2MnN5 PBE optimized geometry
# Crystal system   tetragonal
# Uncorrected energy   -375.560 eV per cell
# E_form (uncorrected)   -1.0880 eV/atom
data_ThNp2MnN5
_space_group_name_H-M_alt 'I 4/m c m'
_space_group_IT_number 140
_space_group_name_Hall '-I 4 2c'
_cell_length_a 6.3799
_cell_length_b 6.3799
_cell_length_c 11.1147
_cell_angle_alpha 90.00
_cell_angle_beta 90.00
_cell_angle_gamma 90.00
loop_
_atom_site_label
_atom_site_fract_x
_atom_site_fract_y
_atom_site_fract_z
Th1 0.0000 0.0000 0.2500
Np1 0.1677 0.3323 0.0000
Mn1 0.0000 0.5000 0.2500
N1 0.0000 0.0000 0.0000
N2 0.1519 0.3481 0.3594


5.
# NpU2MnN4 PBE optimized geometry
# Crystal system   orthorhombic
# Uncorrected energy   -345.979 eV per cell
# E_form (uncorrected)   -1.0633 eV/atom
data_NpU2MnN4
_space_group_name_H-M_alt 'C m c m'
_space_group_IT_number 63
_space_group_name_Hall '-C 2c 2'
_cell_length_a 3.2930
_cell_length_b 11.3871
_cell_length_c 11.2461
_cell_angle_alpha 90.00
_cell_angle_beta 90.00
_cell_angle_gamma 90.00
loop_
_atom_site_label
_atom_site_fract_x
_atom_site_fract_y
_atom_site_fract_z
Np1 0.0000 0.1058 0.2500
U1 0.0000 0.3671 0.0575
Mn1 0.0000 0.1571 0.7500
N1 0.0000 0.0000 0.0000
N2 0.0000 0.2773 0.6243
N3 0.0000 0.4481 0.2500


6.
# Np2MnVN5 PBE optimized geometry
# Crystal system   orthorhombic
# Uncorrected energy   -376.293 eV per cell
# E_form (uncorrected)   -0.9196 eV/atom
data_Np2MnVN5
_space_group_name_H-M_alt 'C m c 21'
_space_group_IT_number 36
_space_group_name_Hall 'C 2c -2'
_cell_length_a 3.2442
_cell_length_b 12.7326
_cell_length_c 9.5855
_cell_angle_alpha 90.00
_cell_angle_beta 90.00
_cell_angle_gamma 90.00
loop_
_atom_site_label
_atom_site_fract_x
_atom_site_fract_y
_atom_site_fract_z
Np1 0.0000 0.1125 0.0000
Np2 0.0000 0.1440 0.6255
Mn1 0.0000 0.2096 0.3366
V1 0.0000 0.4524 0.7841
N1 0.0000 0.0567 0.3811
N2 0.0000 0.2849 0.9751
N3 0.0000 0.3119 0.7001
N4 0.0000 0.3703 0.3231
N5 0.0000 0.4966 0.1027


7.
# YNp2MnN4 PBE optimized geometry
# Crystal system   orthorhombic
# Uncorrected energy   -332.595 eV per cell
# E_form (uncorrected)   -1.0415 eV/atom
data_YNp2MnN4
_space_group_name_H-M_alt 'C m c m'
_space_group_IT_number 63
_space_group_name_Hall '-C 2c 2'
_cell_length_a 3.3355
_cell_length_b 11.3395
_cell_length_c 11.2856
_cell_angle_alpha 90.00
_cell_angle_beta 90.00
_cell_angle_gamma 90.00
loop_
_atom_site_label
_atom_site_fract_x
_atom_site_fract_y
_atom_site_fract_z
Y1 0.0000 0.1067 0.2500
Np1 0.0000 0.3692 0.0558
Mn1 0.0000 0.1584 0.7500
N1 0.0000 0.0000 0.0000
N2 0.0000 0.2729 0.6186
N3 0.0000 0.4472 0.2500


What did the third record say?
# TbNp2MnN4 PBE optimized geometry
# Crystal system   orthorhombic
# Uncorrected energy   -325.516 eV per cell
# E_form (uncorrected)   -1.0495 eV/atom
data_TbNp2MnN4
_space_group_name_H-M_alt 'C m c m'
_space_group_IT_number 63
_space_group_name_Hall '-C 2c 2'
_cell_length_a 3.3388
_cell_length_b 11.3508
_cell_length_c 11.2775
_cell_angle_alpha 90.00
_cell_angle_beta 90.00
_cell_angle_gamma 90.00
loop_
_atom_site_label
_atom_site_fract_x
_atom_site_fract_y
_atom_site_fract_z
Tb1 0.0000 0.1065 0.2500
Np1 0.0000 0.3691 0.0557
Mn1 0.0000 0.1585 0.7500
N1 0.0000 0.0000 0.0000
N2 0.0000 0.2728 0.6186
N3 0.0000 0.4468 0.2500


- Number 6 is which compound?
  Np2MnVN5


- Which of these has the lowest E_form (uncorrected)?
  ThNp2MnN5


- Number 7 is which compound?
  YNp2MnN4